The following is a DFT calculation (PBE) of an optimized crystal structure of La3Pm4PuN8.

a = 7.290 Å, b = 7.290 Å, c = 7.290 Å
α = 120.00°, β = 120.00°, γ = 90.00°
Last column: magnetic moment on the atom in μB.
Positions (direct):
La  0.500  0.500  0.000  0.04
La  0.500  0.500  0.500  0.04
La  0.000  0.500  0.500  0.04
Pm  0.500  0.000  0.000  0.09
Pm  0.500  0.000  0.500  0.04
Pm  0.000  0.000  0.000  0.04
Pm  0.000  0.000  0.500  0.04
Pu  0.000  0.500  0.000  4.54
N  0.241  0.747  0.005  -0.09
N  0.242  0.747  0.483  -0.09
N  0.248  0.244  0.496  0.01
N  0.764  0.747  0.005  -0.09
N  0.236  0.253  0.995  -0.09
N  0.752  0.756  0.504  0.01
N  0.758  0.253  0.517  -0.09
N  0.759  0.253  0.995  -0.09

Results
Spin magnetization ... 4.7 μB per formula unit
Raw total energy ... -8.514 eV per atom
Density ... 8.20 g/cm³


The following is a DFT calculation (PBE) of an optimized crystal structure of HgRu.

a = 8.049 Å, b = 8.049 Å, c = 4.664 Å
α = 90.00°, β = 90.00°, γ = 90.00°
Last column: magnetic moment on the atom in μB.
Positions (direct):
Hg  0.784  0.500  0.000  0.00
Hg  0.216  0.500  0.000  0.00
Hg  0.500  0.216  0.000  0.00
Hg  0.500  0.784  0.000  0.00
Hg  0.284  0.000  0.500  0.00
Hg  0.716  0.000  0.500  0.00
Hg  0.000  0.716  0.500  0.00
Hg  0.000  0.284  0.500  0.00
Ru  0.154  0.154  0.000  0.15
Ru  0.154  0.846  0.000  0.15
Ru  0.846  0.154  0.000  0.15
Ru  0.846  0.846  0.000  0.15
Ru  0.654  0.654  0.500  0.15
Ru  0.654  0.346  0.500  0.15
Ru  0.346  0.654  0.500  0.15
Ru  0.346  0.346  0.500  0.15

Results
Spin magnetization ... 0.2 μB per formula unit
Density ... 13.26 g/cm³
Formation enthalpy at 0 K ... 0.578 eV/atom


The following is a DFT calculation (PBE) of an optimized crystal structure of TlAg5Se4.

a = 3.957 Å, b = 7.931 Å, c = 10.664 Å
α = 48.75°, β = 100.87°, γ = 89.92°
Positions (direct):
Tl  0.500  0.000  0.000
Ag  0.107  0.115  0.213
Ag  0.306  0.803  0.610
Ag  0.694  0.197  0.390
Ag  0.500  0.500  0.000
Ag  0.893  0.885  0.787
Se  0.705  0.824  0.405
Se  0.930  0.431  0.862
Se  0.295  0.176  0.595
Se  0.070  0.569  0.138

Results
Spin magnetization ... 0.0 μB per formula unit
Raw total energy ... -3.099 eV per atom
Density ... 7.22 g/cm³


The following is a DFT calculation (PBE) of an optimized crystal structure of AcTb2PmHo6.

a = 9.551 Å, b = 8.924 Å, c = 8.924 Å
α = 117.97°, β = 92.69°, γ = 92.69°
Positions (direct):
Ac  0.250  0.969  0.031
Ac  0.750  0.031  0.969
Tb  0.451  0.802  0.688
Tb  0.049  0.312  0.198
Tb  0.549  0.198  0.312
Tb  0.951  0.688  0.802
Pm  0.250  0.411  0.589
Pm  0.750  0.589  0.411
Ho  0.059  0.128  0.749
Ho  0.441  0.251  0.872
Ho  0.941  0.872  0.251
Ho  0.559  0.749  0.128
Ho  0.320  0.979  0.441
Ho  0.180  0.559  0.021
Ho  0.680  0.021  0.559
Ho  0.820  0.441  0.979
Ho  0.116  0.711  0.491
Ho  0.384  0.509  0.289
Ho  0.884  0.289  0.509
Ho  0.616  0.491  0.711

Results
Spin magnetization ... 0.0 μB per formula unit
Density ... 8.34 g/cm³
Formation enthalpy at 0 K ... 0.133 eV/atom


The following is a DFT calculation (PBE) of an optimized crystal structure of Ac3Pr3Nd8.

a = 5.911 Å, b = 10.186 Å, c = 10.186 Å
α = 102.17°, β = 73.13°, γ = 73.13°
Positions (direct):
Ac  0.500  0.500  0.500
Ac  0.815  0.185  0.185
Ac  0.185  0.815  0.815
Pr  0.500  0.000  0.000
Pr  0.000  0.807  0.193
Pr  0.000  0.193  0.807
Nd  0.661  0.115  0.563
Nd  0.339  0.885  0.437
Nd  0.661  0.563  0.115
Nd  0.339  0.437  0.885
Nd  0.837  0.766  0.560
Nd  0.163  0.234  0.440
Nd  0.837  0.560  0.766
Nd  0.163  0.440  0.234

Results
Spin magnetization ... 0.0 μB per formula unit
Density ... 7.05 g/cm³
Formation enthalpy at 0 K ... 0.112 eV/atom


The following is a DFT calculation (PBE) of an optimized crystal structure of Sr3TlO.

a = 9.828 Å, b = 9.828 Å, c = 7.134 Å
α = 90.00°, β = 90.00°, γ = 127.55°
Positions (direct):
Sr  0.569  0.932  0.250
Sr  0.068  0.431  0.250
Sr  0.932  0.569  0.750
Sr  0.431  0.068  0.750
Sr  0.000  0.000  0.000
Sr  0.000  0.000  0.500
Tl  0.161  0.839  0.250
Tl  0.839  0.161  0.750
O  0.299  0.701  0.250
O  0.701  0.299  0.750

Results
Spin magnetization ... 0.0 μB per formula unit
Raw total energy ... -3.085 eV per atom
Density ... 2.94 g/cm³